1.
DFT (PBE-GGA) results for Rb2GaCl6 after structural relaxation.

Values from the calculation:
Fermi-level density of states: 11.67 states/eV/f.u.
E_tot: -83.5 eV/cell
crystal system: trigonal
total moment: 0.08 μB per atom

Unit cell a=7.2308 b=7.2308 c=17.6098 alpha=90.00 beta=90.00 gamma=120.00
Space group R-3m (No. 166, hexagonal axes)
Unique sites:
Rb1 0.0000 0.0000 0.2494 (multiplicity 6)
Ga1 0.0000 0.0000 0.5000 (multiplicity 3)
Cl1 0.0232 0.5116 0.2446 (multiplicity 18)

2.
DFT (PBE-GGA) results for Rb2GaCl2 after structural relaxation.

Values from the calculation:
Fermi-level density of states: 1.45 states/eV/f.u.
E_tot: -29.1 eV/cell
crystal system: tetragonal
total moment: 0.00 μB per atom

Unit cell a=8.745 b=8.745 c=4.355 alpha=90.00 beta=90.00 gamma=90.00
Space group P4/mbm (No. 127)
Unique sites:
Rb1 0.152 0.348 0.000 (multiplicity 4)
Ga1 0.000 0.000 0.500 (multiplicity 2)
Cl1 0.154 0.654 0.500 (multiplicity 4)

3.
DFT (PBE-GGA) results for RbGaCl4 after structural relaxation.

Values from the calculation:
Fermi-level density of states: 0.00 states/eV/f.u.
E_tot: -81.6 eV/cell
crystal system: orthorhombic
total moment: 0.00 μB per atom

Unit cell a=11.394 b=7.271 c=9.679 alpha=90.00 beta=90.00 gamma=90.00
Space group Pnma (No. 62)
Unique sites:
Rb1 0.185 0.250 0.177 (multiplicity 4)
Ga1 0.062 0.250 0.688 (multiplicity 4)
Cl1 0.076 0.004 0.821 (multiplicity 8)
Cl2 0.110 0.750 0.413 (multiplicity 4)
Cl3 0.210 0.250 0.542 (multiplicity 4)

> Number 3 is which compound?

RbGaCl4

What did the third record say?
DFT (PBE-GGA) results for RbGaCl4 after structural relaxation.

Values from the calculation:
Fermi-level density of states: 0.00 states/eV/f.u.
E_tot: -81.6 eV/cell
crystal system: orthorhombic
total moment: 0.00 μB per atom

Unit cell a=11.394 b=7.271 c=9.679 alpha=90.00 beta=90.00 gamma=90.00
Space group Pnma (No. 62)
Unique sites:
Rb1 0.185 0.250 0.177 (multiplicity 4)
Ga1 0.062 0.250 0.688 (multiplicity 4)
Cl1 0.076 0.004 0.821 (multiplicity 8)
Cl2 0.110 0.750 0.413 (multiplicity 4)
Cl3 0.210 0.250 0.542 (multiplicity 4)

> Which formula does entry 2 have?

Rb2GaCl2